Pr2Y5ErTh: optimized geometry, GGA-PBE. Values from VASP.

Properties
Spin magnetization ... 0.00 μB per formula unit
Formation energy ... 0.29 eV per atom
DFT total energy ... -102.553 eV per cell
Density of states at the Fermi level ... 22.07 states/eV per cell

Cell and atoms, written as Quantum ESPRESSO input:
```
&SYSTEM
  ibrav = 0, nat = 18, ntyp = 4
/
ATOMIC_SPECIES
Pr 140.91 Pr.upf
Y 88.91 Y.upf
Er 167.26 Er.upf
Th 232.04 Th.upf
CELL_PARAMETERS angstrom
-4.375 4.375 7.790
4.375 -4.375 7.790
4.375 4.375 -7.790
ATOMIC_POSITIONS crystal
Pr 0.117 0.617 0.734
Pr 0.383 0.117 0.500
Pr 0.617 0.883 0.500
Pr 0.883 0.383 0.266
Y 0.000 0.000 0.000
Y 0.073 0.146 0.500
Y 0.146 0.646 0.074
Y 0.354 0.427 0.500
Y 0.427 0.927 0.074
Y 0.500 0.500 0.000
Y 0.573 0.073 0.926
Y 0.646 0.573 0.500
Y 0.854 0.354 0.926
Y 0.927 0.854 0.500
Er 0.250 0.750 0.500
Er 0.750 0.250 0.500
Th 0.250 0.250 0.000
Th 0.750 0.750 0.000
```

=====

CrPd3Au4: optimized geometry, GGA-PBE. Values from VASP.

Properties
Spin magnetization ... 4.22 μB per formula unit
Formation energy ... 0.12 eV per atom
DFT total energy ... -37.323 eV per cell
Density of states at the Fermi level ... 5.33 states/eV per cell
Energy above the most stable polymorph in this dataset ... 9 meV/atom

Cell and atoms, written as Quantum ESPRESSO input:
```
&SYSTEM
  ibrav = 0, nat = 8, ntyp = 3
/
ATOMIC_SPECIES
Cr 52.00 Cr.upf
Pd 106.42 Pd.upf
Au 196.97 Au.upf
CELL_PARAMETERS angstrom
11.543 -1.451 0.000
11.543 1.451 0.000
-0.396 0.000 4.224
ATOMIC_POSITIONS crystal
Cr 0.000 0.000 0.000
Pd 0.344 0.344 0.801
Pd 0.500 0.500 0.500
Pd 0.656 0.656 0.199
Au 0.099 0.099 0.673
Au 0.220 0.220 0.734
Au 0.780 0.780 0.266
Au 0.901 0.901 0.327
```

=====

Tl2SiSb: optimized geometry, GGA-PBE. Values from VASP.

Properties
Spin magnetization ... 0.00 μB per formula unit
DFT total energy ... -13.141 eV per cell
Density of states at the Fermi level ... 1.82 states/eV per cell
Energy above the most stable polymorph in this dataset ... 133 meV/atom

Cell and atoms, written as Quantum ESPRESSO input:
```
&SYSTEM
  ibrav = 0, nat = 4, ntyp = 3
/
ATOMIC_SPECIES
Tl 204.38 Tl.upf
Si 28.09 Si.upf
Sb 121.76 Sb.upf
CELL_PARAMETERS angstrom
2.016 -2.790 0.000
2.016 2.790 0.000
0.000 0.000 9.790
ATOMIC_POSITIONS crystal
Tl 0.000 0.000 0.000
Tl 0.500 0.500 0.293
Si 0.000 0.000 0.530
Sb 0.500 0.500 0.714
```

=====

TaB3Cl: optimized geometry, GGA-PBE. Values from VASP.

Properties
Spin magnetization ... 1.77 μB per formula unit
DFT total energy ... -24.392 eV per cell
Density of states at the Fermi level ... 5.60 states/eV per cell
Energy above the most stable polymorph in this dataset ... 0 meV/atom

Cell and atoms, written as Quantum ESPRESSO input:
```
&SYSTEM
  ibrav = 0, nat = 5, ntyp = 3
/
ATOMIC_SPECIES
Ta 180.95 Ta.upf
B 10.81 B.upf
Cl 35.45 Cl.upf
CELL_PARAMETERS angstrom
4.486 0.000 0.000
0.000 4.486 0.000
0.000 0.000 4.486
ATOMIC_POSITIONS crystal
Ta 0.000 0.000 0.000
B 0.000 0.000 0.500
B 0.000 0.500 0.000
B 0.500 0.000 0.000
Cl 0.500 0.500 0.500
```

=====

CeTh2Be: optimized geometry, GGA-PBE. Values from VASP.

Properties
Spin magnetization ... 0.00 μB per formula unit
Formation energy ... 0.15 eV per atom
DFT total energy ... -23.904 eV per cell
Density of states at the Fermi level ... 6.28 states/eV per cell
Energy above the most stable polymorph in this dataset ... 0 meV/atom

Cell and atoms, written as Quantum ESPRESSO input:
```
&SYSTEM
  ibrav = 0, nat = 4, ntyp = 3
/
ATOMIC_SPECIES
Ce 140.12 Ce.upf
Th 232.04 Th.upf
Be 9.01 Be.upf
CELL_PARAMETERS angstrom
3.534 0.000 0.000
0.000 3.534 0.000
0.000 0.000 8.340
ATOMIC_POSITIONS crystal
Ce 0.000 0.000 0.000
Th 0.500 0.500 0.298
Th 0.500 0.500 0.702
Be 0.000 0.000 0.500
```

=====

BaZrNpO6: optimized geometry, GGA-PBE. Values from VASP.

Properties
Spin magnetization ... 1.00 μB per formula unit
DFT total energy ... -161.556 eV per cell

Cell and atoms, written as Quantum ESPRESSO input:
```
&SYSTEM
  ibrav = 0, nat = 18, ntyp = 4
/
ATOMIC_SPECIES
Ba 137.33 Ba.upf
Zr 91.22 Zr.upf
Np 237.00 Np.upf
O 16.00 O.upf
CELL_PARAMETERS angstrom
5.704 0.000 0.000
-2.852 4.940 0.000
0.000 0.000 11.310
ATOMIC_POSITIONS crystal
Ba 0.000 0.000 0.000
Ba 0.000 0.000 0.500
Zr 0.333 0.667 0.250
Zr 0.667 0.333 0.750
Np 0.333 0.667 0.750
Np 0.667 0.333 0.250
O 0.007 0.383 0.651
O 0.007 0.624 0.849
O 0.376 0.383 0.849
O 0.376 0.993 0.651
O 0.383 0.007 0.151
O 0.383 0.376 0.349
O 0.617 0.624 0.651
O 0.617 0.993 0.849
O 0.624 0.007 0.349
O 0.624 0.617 0.151
O 0.993 0.376 0.151
O 0.993 0.617 0.349
```